# Rb2PaPdO6 PBE relaxed
data_Rb2PaPdO6
_chemical_formula_sum 'Rb8 Pa4 Pd4 O24'
_cell_length_a 8.419
_cell_length_b 8.419
_cell_length_c 8.419
_cell_angle_alpha 90.00
_cell_angle_beta 90.00
_cell_angle_gamma 90.00
_space_group_name_H-M_alt 'F m -3 m'
_space_group_IT_number 225
_space_group_name_Hall '-F 4 2 3'
loop_
_atom_site_label
_atom_site_type_symbol
_atom_site_fract_x
_atom_site_fract_y
_atom_site_fract_z
Rb1 Rb 0.250 0.250 0.250
Pa1 Pa 0.000 0.000 0.000
Pd1 Pd 0.000 0.000 0.500
O1 O 0.000 0.000 0.257
# - electronic total energy (eV per atom) = -6.45
# - crystal system = cubic
# - calculated volume (Å³ per cell) = 596.70